TaCu2Os after structural relaxation. Source: Alexandria via LeMat-Bulk, functional GGA-PBE.

## Properties
Energy of formation = 0.06 eV/atom
Total moment = 0.0 Bohr magnetons per cell
E above lowest polymorph = 54 meV/atom
Energy = -7.76 eV/atom

Unit cell a=3.012 b=3.490 c=5.498 alpha=90.00 beta=90.00 gamma=90.00
Positions (direct):
1 Ta 0.000 0.000 0.000
2 Cu 0.000 0.000 0.489
3 Cu 0.500 0.500 0.282
4 Os 0.500 0.500 0.761

---

TaCu2Os after structural relaxation. Source: Alexandria via LeMat-Bulk, functional GGA-PBE.

## Properties
Energy of formation = 0.22 eV/atom
Total moment = 0.0 Bohr magnetons per cell
E above lowest polymorph = 217 meV/atom
Energy = -7.60 eV/atom

Unit cell a=4.692 b=4.692 c=2.799 alpha=90.00 beta=90.00 gamma=113.25
Positions (direct):
1 Ta 0.000 0.000 0.000
2 Cu 0.000 0.500 0.500
3 Cu 0.500 0.000 0.500
4 Os 0.500 0.500 0.000

---

TaCuOs2 after structural relaxation. Source: Alexandria via LeMat-Bulk, functional GGA-PBE.

## Properties
Energy of formation = 0.30 eV/atom
Total moment = 0.0 Bohr magnetons per cell
E above lowest polymorph = 316 meV/atom
Energy = -9.30 eV/atom

Unit cell a=4.390 b=4.390 c=4.390 alpha=60.00 beta=60.00 gamma=60.00
Positions (direct):
1 Ta 0.000 0.000 0.000
2 Cu 0.250 0.250 0.250
3 Os 0.500 0.500 0.500
4 Os 0.750 0.750 0.750